# 1
Density functional theory data (PBE-GGA) for a relaxed SrLa2GaCu crystal.

Unit cell a=5.958 b=5.958 c=4.908 alpha=90.00 beta=90.00 gamma=90.00
Space group P4/mmm (No. 123)
Asymmetric unit:
Sr: 0.000 0.000 0.000
La: 0.000 0.500 0.000
Ga: 0.500 0.500 0.500
Cu: 0.000 0.000 0.500

Summary:
calculated formation energy	471	kJ/mol of formula units
calculated volume	174.2	Å³/cell

=====

# 2
Density functional theory data (PBE-GGA) for a relaxed Rb3CaSe crystal.

Unit cell a=6.754 b=6.754 c=6.754 alpha=90.00 beta=90.00 gamma=90.00
Space group Pm-3m (No. 221)
Asymmetric unit:
Rb: 0.000 0.000 0.500
Ca: 0.500 0.500 0.500
Se: 0.000 0.000 0.000

Summary:
energy relative to the lowest polymorph listed for this composition	0	meV/atom
calculated volume	308.0	Å³/cell
ΔE_f (raw)	-0.341	eV/atom

=====

# 3
Density functional theory data (PBE-GGA) for a relaxed PmNdDy2As4 crystal.

Unit cell a=7.249 b=4.191 c=7.253 alpha=90.00 beta=109.47 gamma=90.00
Space group P2/m (No. 10)
Asymmetric unit:
Pm: 0.000 0.000 0.000
Nd: 0.000 0.500 0.500
Dy: 0.500 0.000 0.500
Dy: 0.500 0.500 0.000
As: 0.258 0.500 0.252
As: 0.259 0.000 0.754

Summary:
calculated formation energy	-1176	kJ/mol of formula units
calculated volume	207.7	Å³/cell

=====

# 4
Density functional theory data (PBE-GGA) for a relaxed Ir2SCl crystal.

Unit cell a=6.181 b=6.181 c=6.181 alpha=90.00 beta=90.00 gamma=90.00
Space group Fm-3m (No. 225)
Asymmetric unit:
Ir: 0.250 0.250 0.250
S: 0.000 0.000 0.000
Cl: 0.000 0.000 0.500

Summary:
energy relative to the lowest polymorph listed for this composition	459	meV/atom
calculated volume	236.1	Å³/cell
ΔE_f (raw)	0.982	eV/atom